*1*
# GGA-PBE CdGe3O, optimized geometry
# * spin magnetization: 0.0 Bohr magnetons per cell
data_CdGe3O
_cell_length_a 5.115
_cell_length_b 5.115
_cell_length_c 5.115
_cell_angle_alpha 90.00
_cell_angle_beta 90.00
_cell_angle_gamma 90.00
_symmetry_space_group_name_H-M 'P 1'
_symmetry_Int_Tables_number 1
_symmetry_space_group_name_Hall 'P 1'
loop_
_atom_site_label
_atom_site_type_symbol
_atom_site_fract_x
_atom_site_fract_y
_atom_site_fract_z
Cd1 Cd 0.000 0.000 0.000
Ge1 Ge 0.000 0.000 0.500
Ge2 Ge 0.000 0.500 0.000
Ge3 Ge 0.500 0.000 0.000
O1 O 0.500 0.500 0.500

---

*2*
# GGA-PBE CdGe3O, optimized geometry
# * spin magnetization: 0.0 Bohr magnetons per cell
data_CdGe3O
_cell_length_a 4.525
_cell_length_b 4.525
_cell_length_c 4.525
_cell_angle_alpha 90.00
_cell_angle_beta 90.00
_cell_angle_gamma 90.00
_symmetry_space_group_name_H-M 'P 1'
_symmetry_Int_Tables_number 1
_symmetry_space_group_name_Hall 'P 1'
loop_
_atom_site_label
_atom_site_type_symbol
_atom_site_fract_x
_atom_site_fract_y
_atom_site_fract_z
Cd1 Cd 0.000 0.000 0.000
Ge1 Ge 0.000 0.500 0.500
Ge2 Ge 0.500 0.000 0.500
Ge3 Ge 0.500 0.500 0.000
O1 O 0.500 0.500 0.500

---

Structures ranked by computed energy, the most stable listed first: *2*, *1*.

---

*1*
# GGA-PBE Cd3GeO, optimized geometry
# * spin magnetization: 0.0 Bohr magnetons per cell
data_Cd3GeO
_cell_length_a 4.643
_cell_length_b 4.643
_cell_length_c 4.643
_cell_angle_alpha 90.00
_cell_angle_beta 90.00
_cell_angle_gamma 90.00
_symmetry_space_group_name_H-M 'P 1'
_symmetry_Int_Tables_number 1
_symmetry_space_group_name_Hall 'P 1'
loop_
_atom_site_label
_atom_site_type_symbol
_atom_site_fract_x
_atom_site_fract_y
_atom_site_fract_z
Cd1 Cd 0.000 0.000 0.500
Cd2 Cd 0.000 0.500 0.000
Cd3 Cd 0.500 0.000 0.000
Ge1 Ge 0.500 0.500 0.500
O1 O 0.000 0.000 0.000

---

*2*
# GGA-PBE Cd3GeO, optimized geometry
# * spin magnetization: 0.1 Bohr magnetons per cell
data_Cd3GeO
_cell_length_a 5.095
_cell_length_b 5.095
_cell_length_c 5.095
_cell_angle_alpha 90.00
_cell_angle_beta 90.00
_cell_angle_gamma 90.00
_symmetry_space_group_name_H-M 'P 1'
_symmetry_Int_Tables_number 1
_symmetry_space_group_name_Hall 'P 1'
loop_
_atom_site_label
_atom_site_type_symbol
_atom_site_fract_x
_atom_site_fract_y
_atom_site_fract_z
Cd1 Cd 0.000 0.000 0.500
Cd2 Cd 0.000 0.500 0.000
Cd3 Cd 0.500 0.000 0.000
Ge1 Ge 0.000 0.000 0.000
O1 O 0.500 0.500 0.500

---

Structures ranked by computed energy, the most stable listed first: *1*, *2*.

---

*1*
# GGA-PBE CdGe2O, optimized geometry
# * spin magnetization: 0.0 Bohr magnetons per cell
data_CdGe2O
_cell_length_a 7.439
_cell_length_b 7.439
_cell_length_c 7.439
_cell_angle_alpha 141.17
_cell_angle_beta 141.17
_cell_angle_gamma 56.08
_symmetry_space_group_name_H-M 'P 1'
_symmetry_Int_Tables_number 1
_symmetry_space_group_name_Hall 'P 1'
loop_
_atom_site_label
_atom_site_type_symbol
_atom_site_fract_x
_atom_site_fract_y
_atom_site_fract_z
Cd1 Cd 0.000 0.000 0.000
Cd2 Cd 0.750 0.250 0.500
Ge1 Ge 0.254 0.625 0.129
Ge2 Ge 0.375 0.504 0.629
Ge3 Ge 0.496 0.125 0.871
Ge4 Ge 0.875 0.746 0.371
O1 O 0.250 0.750 0.500
O2 O 0.500 0.500 0.000

---

*2*
# GGA-PBE CdGe2O, optimized geometry
# * spin magnetization: 0.0 Bohr magnetons per cell
data_CdGe2O
_cell_length_a 4.588
_cell_length_b 4.588
_cell_length_c 4.588
_cell_angle_alpha 60.00
_cell_angle_beta 60.00
_cell_angle_gamma 60.00
_symmetry_space_group_name_H-M 'P 1'
_symmetry_Int_Tables_number 1
_symmetry_space_group_name_Hall 'P 1'
loop_
_atom_site_label
_atom_site_type_symbol
_atom_site_fract_x
_atom_site_fract_y
_atom_site_fract_z
Cd1 Cd 0.000 0.000 0.000
Ge1 Ge 0.250 0.250 0.250
Ge2 Ge 0.750 0.750 0.750
O1 O 0.500 0.500 0.500

---

Structures ranked by computed energy, the most stable listed first: *1*, *2*.

---

*1*
# GGA-PBE CdGe2PtO, optimized geometry
# * spin magnetization: 0.0 Bohr magnetons per cell
data_CdGe2PtO
_cell_length_a 4.764
_cell_length_b 2.998
_cell_length_c 6.444
_cell_angle_alpha 90.00
_cell_angle_beta 105.62
_cell_angle_gamma 90.00
_symmetry_space_group_name_H-M 'P 1'
_symmetry_Int_Tables_number 1
_symmetry_space_group_name_Hall 'P 1'
loop_
_atom_site_label
_atom_site_type_symbol
_atom_site_fract_x
_atom_site_fract_y
_atom_site_fract_z
Cd1 Cd 0.000 0.000 0.000
Ge1 Ge 0.375 0.000 0.626
Ge2 Ge 0.669 0.500 0.365
Pt1 Pt 0.484 0.500 0.963
O1 O 0.966 0.000 0.455

---

*2*
# GGA-PBE CdGe2PtO, optimized geometry
# * spin magnetization: 0.0 Bohr magnetons per cell
data_CdGe2PtO
_cell_length_a 4.554
_cell_length_b 4.624
_cell_length_c 5.014
_cell_angle_alpha 66.78
_cell_angle_beta 87.91
_cell_angle_gamma 72.17
_symmetry_space_group_name_H-M 'P 1'
_symmetry_Int_Tables_number 1
_symmetry_space_group_name_Hall 'P 1'
loop_
_atom_site_label
_atom_site_type_symbol
_atom_site_fract_x
_atom_site_fract_y
_atom_site_fract_z
Cd1 Cd 0.000 0.000 0.000
Ge1 Ge 0.476 0.381 0.370
Ge2 Ge 0.779 0.696 0.645
Pt1 Pt 0.345 0.465 0.841
O1 O 0.788 0.582 0.324

---

*3*
# GGA-PBE CdGe2PtO, optimized geometry
# * spin magnetization: 0.0 Bohr magnetons per cell
data_CdGe2PtO
_cell_length_a 3.565
_cell_length_b 8.496
_cell_length_c 8.496
_cell_angle_alpha 20.24
_cell_angle_beta 90.00
_cell_angle_gamma 90.00
_symmetry_space_group_name_H-M 'P 1'
_symmetry_Int_Tables_number 1
_symmetry_space_group_name_Hall 'P 1'
loop_
_atom_site_label
_atom_site_type_symbol
_atom_site_fract_x
_atom_site_fract_y
_atom_site_fract_z
Cd1 Cd 0.000 0.000 0.000
Ge1 Ge 0.500 0.373 0.373
Ge2 Ge 0.500 0.688 0.688
Pt1 Pt 0.000 0.791 0.791
O1 O 0.500 0.118 0.118

---

Structures ranked by computed energy, the most stable listed first: *1*, *3*, *2*.

---

*1*
# GGA-PBE Cd3GeOs, optimized geometry
# * spin magnetization: 2.2 Bohr magnetons per cell
data_Cd3GeOs
_cell_length_a 5.030
_cell_length_b 5.030
_cell_length_c 5.030
_cell_angle_alpha 90.00
_cell_angle_beta 90.00
_cell_angle_gamma 90.00
_symmetry_space_group_name_H-M 'P 1'
_symmetry_Int_Tables_number 1
_symmetry_space_group_name_Hall 'P 1'
loop_
_atom_site_label
_atom_site_type_symbol
_atom_site_fract_x
_atom_site_fract_y
_atom_site_fract_z
Cd1 Cd 0.000 0.000 0.500
Cd2 Cd 0.000 0.500 0.000
Cd3 Cd 0.500 0.000 0.000
Ge1 Ge 0.000 0.000 0.000
Os1 Os 0.500 0.500 0.500

---

*2*
# GGA-PBE Cd3GeOs, optimized geometry
# * spin magnetization: 0.0 Bohr magnetons per cell
data_Cd3GeOs
_cell_length_a 5.170
_cell_length_b 5.170
_cell_length_c 5.170
_cell_angle_alpha 90.00
_cell_angle_beta 90.00
_cell_angle_gamma 90.00
_symmetry_space_group_name_H-M 'P 1'
_symmetry_Int_Tables_number 1
_symmetry_space_group_name_Hall 'P 1'
loop_
_atom_site_label
_atom_site_type_symbol
_atom_site_fract_x
_atom_site_fract_y
_atom_site_fract_z
Cd1 Cd 0.000 0.000 0.500
Cd2 Cd 0.000 0.500 0.000
Cd3 Cd 0.500 0.000 0.000
Ge1 Ge 0.500 0.500 0.500
Os1 Os 0.000 0.000 0.000

---

Structures ranked by computed energy, the most stable listed first: *2*, *1*.

---

*1*
# GGA-PBE Cd2GeTeOs, optimized geometry
# * spin magnetization: 2.5 Bohr magnetons per cell
data_Cd2GeTeOs
_cell_length_a 4.921
_cell_length_b 4.921
_cell_length_c 5.662
_cell_angle_alpha 90.00
_cell_angle_beta 90.00
_cell_angle_gamma 90.00
_symmetry_space_group_name_H-M 'P 1'
_symmetry_Int_Tables_number 1
_symmetry_space_group_name_Hall 'P 1'
loop_
_atom_site_label
_atom_site_type_symbol
_atom_site_fract_x
_atom_site_fract_y
_atom_site_fract_z
Cd1 Cd 0.000 0.500 0.000
Cd2 Cd 0.500 0.000 0.000
Ge1 Ge 0.000 0.000 0.000
Te1 Te 0.000 0.000 0.500
Os1 Os 0.500 0.500 0.500

---

*2*
# GGA-PBE Cd2GeTeOs, optimized geometry
# * spin magnetization: 0.0 Bohr magnetons per cell
data_Cd2GeTeOs
_cell_length_a 5.119
_cell_length_b 5.119
_cell_length_c 4.705
_cell_angle_alpha 90.00
_cell_angle_beta 90.00
_cell_angle_gamma 90.00
_symmetry_space_group_name_H-M 'P 1'
_symmetry_Int_Tables_number 1
_symmetry_space_group_name_Hall 'P 1'
loop_
_atom_site_label
_atom_site_type_symbol
_atom_site_fract_x
_atom_site_fract_y
_atom_site_fract_z
Cd1 Cd 0.000 0.500 0.000
Cd2 Cd 0.500 0.000 0.000
Ge1 Ge 0.000 0.000 0.000
Te1 Te 0.500 0.500 0.500
Os1 Os 0.000 0.000 0.500

---

Structures ranked by computed energy, the most stable listed first: *2*, *1*.